# 1
Here is a relaxed structure of Tm5Pd2Au from the Alexandria database. Energies are from PBE.

Summary:
* E_form: -0.7131 eV/atom

```
16
Lattice="6.8843 0.0000 -3.2498 -1.5341 6.7112 -3.2498 -0.1878 -0.2356 8.5190" Properties=species:S:1:pos:R:3 pbc="T T T"
Pd 4.1623 0.9033 -2.4997
Pd 4.9843 4.2589 -4.8746
Pd 0.3660 2.4523 -1.6249
Pd 1.1880 5.8080 -3.9999
Tm 3.9856 6.5295 -3.3521
Tm 2.8021 1.9848 -0.1023
Tm 2.3604 4.4909 2.1217
Tm 0.8153 5.3404 -1.1514
Tm 5.9725 3.1739 -2.3030
Tm 4.3472 1.1352 3.1708
Tm 2.6751 3.3556 -3.2498
Tm 1.1768 -0.0539 5.3715
Tm -0.8100 3.3017 4.3224
Tm 0.0000 0.0000 0.0000
Au 3.9188 4.9156 -0.6152
Au 1.2437 1.5600 2.6346
```



# 2
Here is a relaxed structure of VZn2Ni from the Alexandria database. Energies are from PBE.

Summary:
* E_form: 0.0297 eV/atom

```
4
Lattice="-1.6935 -1.3472 1.5649 0.8911 -1.3261 2.1399 -1.4042 6.1306 6.0867" Properties=species:S:1:pos:R:3 pbc="T T T"
Zn -0.5362 0.7493 2.3825
Zn -1.1374 4.4864 4.9476
Ni -1.9393 4.3451 8.5571
V -1.1014 1.7357 4.8866
```



# 3
Here is a relaxed structure of PmGa2Ge from the Alexandria database. Energies are from PBE.

Summary:
* E_form: -0.3965 eV/atom
* ΔE to the lowest computed polymorph: 0.1141 eV per atom

```
8
Lattice="4.7040 0.0000 0.0000 -2.3520 5.5022 0.0000 0.0000 0.0000 6.6679" Properties=species:S:1:pos:R:3 pbc="T T T"
Ge 0.0000 1.8002 1.6670
Ge 2.3520 3.7020 5.0009
Ga 0.0000 4.2875 6.3160
Ga 2.3520 1.2147 2.9820
Ga 2.3520 1.2147 0.3519
Ga 0.0000 4.2875 3.6858
Pm 0.0000 1.3250 5.0009
Pm 2.3520 4.1773 1.6670
```



# 4
Here is a relaxed structure of KCa2Au from the Alexandria database. Energies are from PBE.

Summary:
* E_form: -0.0927 eV/atom
* ΔE to the lowest computed polymorph: 0.2665 eV per atom

```
4
Lattice="0.0000 3.9591 3.9591 3.9591 0.0000 3.9591 3.9591 3.9591 0.0000" Properties=species:S:1:pos:R:3 pbc="T T T"
K 0.0000 0.0000 0.0000
Ca 1.9795 1.9795 1.9795
Ca 5.9386 5.9386 5.9386
Au 3.9591 3.9591 3.9591
```



# 5
Here is a relaxed structure of TlCdRu2 from the Alexandria database. Energies are from PBE.

Summary:
* E_form: 0.4800 eV/atom

```
4
Lattice="-1.6791 4.7528 2.0588 -2.6584 4.6960 -0.7261 -4.6439 -0.3973 1.6413" Properties=species:S:1:pos:R:3 pbc="T T T"
Ru -6.4166 6.5656 2.1227
Ru -0.3225 0.2168 0.1090
Cd -2.0059 2.4597 0.6553
Tl -4.7270 4.3352 1.5740
```



# 6
Here is a relaxed structure of PmTl2Te3 from the Alexandria database. Energies are from PBE.

Summary:
* energy relative to the elements, uncorrected: -0.689 eV/atom

```
12
Lattice="-3.0677 -0.7868 -2.9156 5.2811 0.2216 -5.6163 1.8134 -11.6813 1.2443" Properties=species:S:1:pos:R:3 pbc="T T T"
Te 2.5631 -3.5955 -4.9043
Te 5.2595 -7.3749 -3.5437
Te -0.2269 -0.8830 -2.7007
Te 2.0893 -4.0741 -1.0989
Te 4.0590 -11.3716 -4.3799
Te 0.6951 -8.6833 -1.5660
Pm 3.0198 -1.2440 -2.8416
Pm 1.7698 -10.3124 0.9207
Tl 2.1530 -6.5227 -3.6829
Tl 3.9649 -9.3778 -1.6411
Tl -0.6125 -5.8281 -0.9605
Tl 5.4748 -1.9835 -5.2251
```



# 7
Here is a relaxed structure of Rb2CuRuBr6 from the Alexandria database. Energies are from PBE.

Summary:
* energy relative to the elements, uncorrected: -0.788 eV/atom

```
10
Lattice="7.4047 0.0000 0.0000 0.0000 7.4047 0.0000 3.7023 3.7023 5.2410" Properties=species:S:1:pos:R:3 pbc="T T T"
Br 1.8161 5.5885 0.0000
Br 5.5885 5.5885 0.0000
Br 3.7023 3.7023 2.6717
Br 5.5885 1.8161 0.0000
Br 7.4047 7.4047 2.5693
Br 1.8161 1.8161 0.0000
Rb 3.7023 7.4047 2.6205
Rb 7.4047 3.7023 2.6205
Ru 0.0000 0.0000 0.0000
Cu 3.7023 3.7023 0.0000
```



# 8
Here is a relaxed structure of ErScPtAu from the Alexandria database. Energies are from PBE.

Summary:
* E_form: -1.0190 eV/atom
* ΔE to the lowest computed polymorph: 0.0224 eV per atom

```
4
Lattice="-2.8896 2.0433 -3.3340 -2.5808 -2.7991 -3.0241 -4.8312 -0.2779 0.4715" Properties=species:S:1:pos:R:3 pbc="T T T"
Er 0.0000 0.0000 0.0000
Au -2.5754 -0.2584 -1.4716
Pt -7.7262 -0.7753 -4.4149
Sc -5.1508 -0.5168 -2.9433
```